BaAg6P2: relaxed, GGA-PBE.

POSCAR file:
```
BaAg6P2
1.0
4.356 0.000 0.000
0.000 4.356 0.000
0.000 0.000 9.504
Ag Ba P
6 1 2
Direct
0.000 0.500 0.708
0.000 0.000 0.500
0.000 0.500 0.292
0.500 0.000 0.708
0.500 0.000 0.292
0.500 0.500 0.500
0.000 0.000 0.000
0.500 0.500 0.878
0.500 0.500 0.122
```

Computed properties:
DFT total energy: -3.52 eV per atom
Total magnetization: 0.00 μB per formula unit
Calculated volume: 20.04 Å³/atom